# HfScBe2

A geometry-optimized HfScBe2 structure (GGA-PBE, Alexandria via LeMat-Bulk). Values from VASP.

total energy = -23.9 eV for the cell shown
distance to the lowest polymorph of the same formula = 0.023 eV per atom
ΔH_f (0 K) = -0.048 eV/atom
mass density = 6.48 g/cm³

Structure (Quantum ESPRESSO input):
```
&SYSTEM
  ibrav = 0, nat = 4, ntyp = 3
/
ATOMIC_SPECIES
Be 9.01 Be.upf
Hf 178.49 Hf.upf
Sc 44.96 Sc.upf
CELL_PARAMETERS angstrom
1.313 -4.223 -0.390
-1.212 -2.992 3.047
-2.947 -3.155 -1.036
ATOMIC_POSITIONS crystal
Be 0.250 0.250 0.250
Be 0.750 0.750 0.750
Hf 0.500 0.500 0.500
Sc 0.000 0.000 0.000
```